Material: HfTaBe2W
Method: DFT, meta-GGA SCAN
State: PBEsol geometry

E, eV per cell: -200.7

Unit cell a=4.3048 b=4.3048 c=4.7420 alpha=90.00 beta=90.00 gamma=90.00
Positions (direct):
1 Hf 0.0000 0.0000 0.0000
2 Ta 0.5000 0.5000 0.0000
3 Be 0.0000 0.5000 0.5000
4 Be 0.5000 0.0000 0.5000
5 W 0.0000 0.0000 0.5000

Material: MgBe2Ru
Method: DFT, meta-GGA SCAN
State: PBEsol geometry

E, eV per cell: -48.9

Unit cell a=4.6596 b=4.6596 c=4.6596 alpha=141.54 beta=132.14 gamma=63.00
Positions (direct):
1 Mg 0.0000 0.0000 0.0000
2 Be 0.5137 0.5137 0.0000
3 Be 0.7342 0.2342 0.5000
4 Ru 0.2677 0.7677 0.5000

Material: Ca2C
Method: DFT, meta-GGA SCAN
State: PBEsol geometry

Energy above the most stable polymorph in this dataset, meV/atom: 351

Unit cell a=3.8301 b=3.8301 c=13.3684 alpha=90.00 beta=90.00 gamma=121.41
Positions (direct):
1 Ca 0.1698 0.8302 0.5916
2 Ca 0.1698 0.8302 0.9084
3 Ca 0.8302 0.1698 0.0916
4 Ca 0.8302 0.1698 0.4084
5 C 0.5000 0.5000 0.0000
6 C 0.5000 0.5000 0.5000

Material: LiCo2P
Method: DFT, meta-GGA SCAN
State: PBEsol geometry

E, eV per cell: -47.5

Unit cell a=2.5792 b=2.5792 c=7.0339 alpha=90.00 beta=90.00 gamma=90.00
Positions (direct):
1 Li 0.0000 0.0000 0.0000
2 Co 0.0000 0.0000 0.4741
3 Co 0.5000 0.5000 0.7162
4 P 0.5000 0.5000 0.2868

Material: TaAl3Zn
Method: DFT, meta-GGA SCAN
State: PBEsol geometry

E, eV per cell: -99.0

Unit cell a=4.4986 b=4.4986 c=4.4986 alpha=90.00 beta=90.00 gamma=90.00
Positions (direct):
1 Ta 0.0000 0.0000 0.0000
2 Al 0.0000 0.5000 0.5000
3 Al 0.5000 0.0000 0.5000
4 Al 0.5000 0.5000 0.0000
5 Zn 0.5000 0.5000 0.5000

Material: LiAg3
Method: DFT, meta-GGA SCAN
State: PBEsol geometry

E, eV per cell: -96.9

Unit cell a=2.8356 b=4.6279 c=4.9155 alpha=90.00 beta=90.00 gamma=90.00
Positions (direct):
1 Li 0.0000 0.0000 0.0000
2 Ag 0.0000 0.5000 0.6752
3 Ag 0.5000 0.0000 0.5011
4 Ag 0.5000 0.5000 0.1700

Material: BSe2ClF
Method: DFT, meta-GGA SCAN
State: PBEsol geometry

ΔE_f (raw), eV per atom: 1.458

Unit cell a=4.8244 b=4.8244 c=4.1923 alpha=90.00 beta=90.00 gamma=90.00
Positions (direct):
1 B 0.0000 0.0000 0.0000
2 Se 0.0000 0.5000 0.5000
3 Se 0.5000 0.0000 0.5000
4 Cl 0.0000 0.0000 0.5000
5 F 0.5000 0.5000 0.0000

Material: LiSi2Tc
Method: DFT, meta-GGA SCAN
State: PBEsol geometry

ΔE_f (raw), eV per atom: -0.206
Energy above the most stable polymorph in this dataset, meV/atom: 0

Unit cell a=3.7923 b=4.7867 c=4.7867 alpha=37.57 beta=90.00 gamma=90.00
Positions (direct):
1 Li 0.0000 0.0000 0.0000
2 Si 0.0000 0.2628 0.2628
3 Si 0.5000 0.4292 0.4292
4 Tc 0.5000 0.7052 0.7052

Material: SrTi2Pt2
Method: DFT, meta-GGA SCAN
State: PBEsol geometry

E, eV per cell: -199.7

Unit cell a=6.1052 b=6.1052 c=6.1052 alpha=137.75 beta=137.75 gamma=61.29
Positions (direct):
1 Sr 0.0000 0.0000 0.0000
2 Ti 0.2500 0.7500 0.5000
3 Ti 0.7500 0.2500 0.5000
4 Pt 0.3722 0.3722 0.0000
5 Pt 0.6278 0.6278 0.0000

Material: ScP2Br
Method: DFT, meta-GGA SCAN
State: PBEsol geometry

ΔE_f (raw), eV per atom: -0.790
Energy above the most stable polymorph in this dataset, meV/atom: 0

Unit cell a=4.0180 b=4.0180 c=7.0094 alpha=102.58 beta=102.58 gamma=51.86
Positions (direct):
1 Sc 0.0000 0.0000 0.0000
2 P 0.4897 0.4897 0.3083
3 P 0.7479 0.7479 0.2144
4 Br 0.2695 0.2695 0.7537

Material: SbRhAu2
Method: DFT, meta-GGA SCAN
State: PBEsol geometry

ΔE_f (raw), eV per atom: 0.081

Unit cell a=4.6554 b=4.6554 c=3.4668 alpha=90.00 beta=90.00 gamma=109.35
Positions (direct):
1 Sb 0.0000 0.0000 0.0000
2 Rh 0.5000 0.5000 0.0000
3 Au 0.0000 0.5000 0.5000
4 Au 0.5000 0.0000 0.5000

Material: Ca2Ge2Ir
Method: DFT, meta-GGA SCAN
State: PBEsol geometry

E, eV per cell: -264.4

Unit cell a=6.5990 b=6.5990 c=4.5606 alpha=90.00 beta=90.00 gamma=90.00
Positions (direct):
1 Ca 0.1771 0.3229 0.0000
2 Ca 0.3229 0.8229 0.0000
3 Ca 0.6771 0.1771 0.0000
4 Ca 0.8229 0.6771 0.0000
5 Ge 0.1362 0.6362 0.5000
6 Ge 0.3638 0.1362 0.5000
7 Ge 0.6362 0.8638 0.5000
8 Ge 0.8638 0.3638 0.5000
9 Ir 0.0000 0.0000 0.5000
10 Ir 0.5000 0.5000 0.5000